Entry 1:
Compound: Cu2Ni
Source: Alexandria
Functional: PBEsol
Structure: relaxed

Values from the calculation:
- Fermi-level density of states: 1.3 states/eV/f.u.
- E_form: 2.2 kJ/mol of atoms
- Raw total energy: -4.919 eV/atom

a = 7.451 Å, b = 4.304 Å, c = 4.082 Å
α = 90.00°, β = 90.00°, γ = 90.00°
Positions (direct):
Cu1 0.165 0.167 0.250
Cu2 0.165 0.833 0.750
Cu3 0.335 0.333 0.750
Cu4 0.335 0.667 0.250
Cu5 0.665 0.333 0.750
Cu6 0.665 0.667 0.250
Cu7 0.835 0.167 0.250
Cu8 0.835 0.833 0.750
Ni1 0.000 0.339 0.750
Ni2 0.000 0.661 0.250
Ni3 0.500 0.161 0.250
Ni4 0.500 0.839 0.750

Entry 2:
Compound: Cu5Ni3
Source: Alexandria
Functional: PBEsol
Structure: relaxed

Values from the calculation:
- Fermi-level density of states: 7.7 states/eV/f.u.
- E_form: 2.7 kJ/mol of atoms
- Raw total energy: -4.990 eV/atom

a = 7.037 Å, b = 7.054 Å, c = 3.495 Å
α = 90.00°, β = 90.00°, γ = 90.00°
Positions (direct):
Cu1 0.000 0.000 0.000
Cu2 0.000 0.250 0.500
Cu3 0.000 0.750 0.500
Cu4 0.250 0.250 0.000
Cu5 0.250 0.750 0.000
Cu6 0.500 0.250 0.500
Cu7 0.500 0.500 0.000
Cu8 0.500 0.750 0.500
Cu9 0.750 0.250 0.000
Cu10 0.750 0.750 0.000
Ni1 0.000 0.500 0.000
Ni2 0.247 0.500 0.500
Ni3 0.253 0.000 0.500
Ni4 0.500 0.000 0.000
Ni5 0.747 0.000 0.500
Ni6 0.753 0.500 0.500

Entry 3:
Compound: Cu2Ni
Source: Alexandria
Functional: PBEsol
Structure: relaxed

Values from the calculation:
- Fermi-level density of states: 2.1 states/eV/f.u.
- E_form: 1.4 kJ/mol of atoms
- Raw total energy: -4.927 eV/atom

a = 2.487 Å, b = 2.487 Å, c = 10.562 Å
α = 90.00°, β = 90.00°, γ = 90.00°
Positions (direct):
Cu1 0.000 0.000 0.165
Cu2 0.000 0.000 0.835
Cu3 0.500 0.500 0.335
Cu4 0.500 0.500 0.665
Ni1 0.000 0.000 0.500
Ni2 0.500 0.500 0.000

Entry 4:
Compound: Cu2Ni
Source: Alexandria
Functional: PBEsol
Structure: relaxed

Values from the calculation:
- Fermi-level density of states: 2.1 states/eV/f.u.
- E_form: 7.0 kJ/mol of atoms
- Raw total energy: -4.869 eV/atom

a = 6.845 Å, b = 6.845 Å, c = 2.440 Å
α = 90.00°, β = 90.00°, γ = 120.00°
Positions (direct):
Cu1 0.000 0.306 0.000
Cu2 0.000 0.639 0.500
Cu3 0.306 0.000 0.000
Cu4 0.361 0.361 0.500
Cu5 0.639 0.000 0.500
Cu6 0.694 0.694 0.000
Ni1 0.000 0.000 0.500
Ni2 0.333 0.667 0.000
Ni3 0.667 0.333 0.000

Entry 5:
Compound: Cu5Ni4
Source: Alexandria
Functional: PBEsol
Structure: relaxed

Values from the calculation:
- Fermi-level density of states: 11.0 states/eV/f.u.
- E_form: 2.1 kJ/mol of atoms
- Raw total energy: -5.122 eV/atom

a = 5.545 Å, b = 5.545 Å, c = 5.545 Å
α = 95.75°, β = 95.75°, γ = 143.08°
Positions (direct):
Cu1 0.000 0.000 0.000
Cu2 0.332 0.332 0.665
Cu3 0.332 0.668 0.000
Cu4 0.668 0.332 0.000
Cu5 0.668 0.668 0.335
Ni1 0.000 0.338 0.338
Ni2 0.000 0.662 0.662
Ni3 0.338 0.000 0.338
Ni4 0.662 0.000 0.662

Entry 6:
Compound: CuNi3
Source: Alexandria
Functional: PBEsol
Structure: relaxed

Values from the calculation:
- Fermi-level density of states: 6.2 states/eV/f.u.
- E_form: 3.7 kJ/mol of atoms
- Raw total energy: -5.664 eV/atom

a = 4.252 Å, b = 8.065 Å, c = 4.925 Å
α = 90.00°, β = 90.00°, γ = 90.00°
Positions (direct):
Cu1 0.083 0.250 0.127
Cu2 0.417 0.750 0.627
Cu3 0.583 0.250 0.373
Cu4 0.917 0.750 0.873
Ni1 0.084 0.250 0.630
Ni2 0.247 0.502 0.376
Ni3 0.247 0.998 0.376
Ni4 0.253 0.002 0.876
Ni5 0.253 0.498 0.876
Ni6 0.416 0.750 0.130
Ni7 0.584 0.250 0.870
Ni8 0.747 0.502 0.124
Ni9 0.747 0.998 0.124
Ni10 0.753 0.002 0.624
Ni11 0.753 0.498 0.624
Ni12 0.916 0.750 0.370

Entry 7:
Compound: CuNi3
Source: Alexandria
Functional: PBEsol
Structure: relaxed

Values from the calculation:
- Fermi-level density of states: 6.6 states/eV/f.u.
- E_form: 9.7 kJ/mol of atoms
- Raw total energy: -5.602 eV/atom

a = 7.823 Å, b = 7.823 Å, c = 2.396 Å
α = 90.00°, β = 90.00°, γ = 120.00°
Positions (direct):
Cu1 0.000 0.000 0.000
Cu2 0.333 0.667 0.667
Cu3 0.667 0.333 0.333
Ni1 0.000 0.500 0.000
Ni2 0.167 0.333 0.333
Ni3 0.167 0.833 0.333
Ni4 0.333 0.167 0.667
Ni5 0.500 0.000 0.000
Ni6 0.500 0.500 0.000
Ni7 0.667 0.833 0.333
Ni8 0.833 0.167 0.667
Ni9 0.833 0.667 0.667

Entry 8:
Compound: CuNi4
Source: Alexandria
Functional: PBEsol
Structure: relaxed

Values from the calculation:
- Fermi-level density of states: 7.1 states/eV/f.u.
- E_form: 2.5 kJ/mol of atoms
- Raw total energy: -5.767 eV/atom

a = 5.502 Å, b = 5.502 Å, c = 3.470 Å
α = 90.00°, β = 90.00°, γ = 90.00°
Positions (direct):
Cu1 0.000 0.000 0.000
Cu2 0.500 0.500 0.500
Ni1 0.100 0.698 0.500
Ni2 0.198 0.400 0.000
Ni3 0.302 0.100 0.500
Ni4 0.400 0.802 0.000
Ni5 0.600 0.198 0.000
Ni6 0.698 0.900 0.500
Ni7 0.802 0.600 0.000
Ni8 0.900 0.302 0.500

Entry 9:
Compound: Cu4Ni3
Source: Alexandria
Functional: PBEsol
Structure: relaxed

Values from the calculation:
- Fermi-level density of states: 6.7 states/eV/f.u.
- E_form: 1.5 kJ/mol of atoms
- Raw total energy: -5.100 eV/atom

a = 2.478 Å, b = 2.478 Å, c = 24.662 Å
α = 90.00°, β = 90.00°, γ = 90.00°
Positions (direct):
Cu1 0.000 0.000 0.071
Cu2 0.000 0.000 0.356
Cu3 0.000 0.000 0.644
Cu4 0.000 0.000 0.929
Cu5 0.500 0.500 0.144
Cu6 0.500 0.500 0.429
Cu7 0.500 0.500 0.571
Cu8 0.500 0.500 0.856
Ni1 0.000 0.000 0.216
Ni2 0.000 0.000 0.500
Ni3 0.000 0.000 0.784
Ni4 0.500 0.500 0.000
Ni5 0.500 0.500 0.284
Ni6 0.500 0.500 0.716

Entry 10:
Compound: Cu4Ni5
Source: Alexandria
Functional: PBEsol
Structure: relaxed

Values from the calculation:
- Fermi-level density of states: 13.0 states/eV/f.u.
- E_form: 3.1 kJ/mol of atoms
- Raw total energy: -5.315 eV/atom

a = 5.536 Å, b = 5.536 Å, c = 5.536 Å
α = 95.68°, β = 95.68°, γ = 143.32°
Positions (direct):
Cu1 0.000 0.331 0.331
Cu2 0.000 0.669 0.669
Cu3 0.331 0.000 0.331
Cu4 0.669 0.000 0.669
Ni1 0.000 0.000 0.000
Ni2 0.335 0.335 0.669
Ni3 0.335 0.665 0.000
Ni4 0.665 0.335 0.000
Ni5 0.665 0.665 0.331

Entry 11:
Compound: Cu2Ni3
Source: Alexandria
Functional: PBEsol
Structure: relaxed

Values from the calculation:
- Fermi-level density of states: 6.2 states/eV/f.u.
- E_form: 1.6 kJ/mol of atoms
- Raw total energy: -5.412 eV/atom

a = 2.464 Å, b = 2.464 Å, c = 30.390 Å
α = 90.00°, β = 90.00°, γ = 120.00°
Positions (direct):
Cu1 0.000 0.000 0.100
Cu2 0.000 0.000 0.900
Cu3 0.333 0.667 0.567
Cu4 0.333 0.667 0.766
Cu5 0.667 0.333 0.234
Cu6 0.667 0.333 0.433
Ni1 0.000 0.000 0.301
Ni2 0.000 0.000 0.500
Ni3 0.000 0.000 0.699
Ni4 0.333 0.667 0.167
Ni5 0.333 0.667 0.366
Ni6 0.333 0.667 0.967
Ni7 0.667 0.333 0.033
Ni8 0.667 0.333 0.634
Ni9 0.667 0.333 0.833

Entry 12:
Compound: Cu2Ni
Source: Alexandria
Functional: PBEsol
Structure: relaxed

Values from the calculation:
- Fermi-level density of states: 2.0 states/eV/f.u.
- E_form: 2.0 kJ/mol of atoms
- Raw total energy: -4.921 eV/atom

a = 9.261 Å, b = 2.483 Å, c = 5.915 Å
α = 90.00°, β = 105.73°, γ = 90.00°
Positions (direct):
Cu1 0.026 0.000 0.307
Cu2 0.140 0.500 0.029
Cu3 0.360 0.000 0.971
Cu4 0.474 0.500 0.693
Cu5 0.526 0.500 0.307
Cu6 0.640 0.000 0.029
Cu7 0.860 0.500 0.971
Cu8 0.974 0.000 0.693
Ni1 0.196 0.500 0.635
Ni2 0.304 0.000 0.365
Ni3 0.696 0.000 0.635
Ni4 0.804 0.500 0.365